Record 1
Tb3TmP4 after structural relaxation. Source: Alexandria via LeMat-Bulk, functional PBE.

The structure belongs to space group Cmmm (No. 65); the cell edges are 8.016, 11.335 and 4.010 Å and the angles 90.00°, 90.00° and 90.00°. The distinct sites, in fractional coordinates, are Tb at (0.000, 0.000, 0.000), Tb at (0.250, 0.250, 0.500), Tm at (0.000, 0.500, 0.000), P at (0.000, 0.252, 0.000) and P at (0.247, 0.500, 0.500).

The calculation puts the formation energy at -1609 meV per atom.

***

Record 2
PrHoTh2Bi4 after structural relaxation. Source: Alexandria via LeMat-Bulk, functional PBE.

The structure belongs to space group P2/m (No. 10); the cell edges are 7.901, 4.585 and 7.939 Å and the angles 90.00°, 109.64° and 90.00°. The distinct sites, in fractional coordinates, are Pr at (0.000, 0.000, 0.000), Ho at (0.000, 0.500, 0.500), Th at (0.500, 0.000, 0.500), Th at (0.500, 0.500, 0.000), Bi at (0.244, 0.000, 0.743) and Bi at (0.248, 0.500, 0.254).

The calculation puts the formation energy at -729 meV per atom.

***

Record 3
TaReSi2 after structural relaxation. Source: Alexandria via LeMat-Bulk, functional PBE.

The structure belongs to space group Cm (No. 8); the cell edges are 8.883, 3.066 and 4.453 Å and the angles 90.00°, 104.95° and 90.00°. The distinct sites, in fractional coordinates, are Ta at (0.000, 0.000, 0.000), Re at (0.230, 0.000, 0.649), Si at (0.250, 0.500, 0.197) and Si at (0.490, 0.000, 0.488).

For the formation energy without anion corrections, the calculation gives -0.247 eV per atom.

***

Record 4
AlSi2Ru after structural relaxation. Source: Alexandria via LeMat-Bulk, functional PBE.

The structure belongs to space group R3m (No. 160, hexagonal axes); the cell edges are 2.9715, 2.9715 and 22.7507 Å and the angles 90.00°, 90.00° and 120.00°. The distinct sites, in fractional coordinates, are Al at (0.0000, 0.0000, 0.0000), Si at (0.0000, 0.0000, 0.5053), Si at (0.0000, 0.0000, 0.7575) and Ru at (0.0000, 0.0000, 0.2481).

For the formation energy without anion corrections, the calculation gives -0.135 eV per atom.

***

Record 5
Mn2ReRu after structural relaxation. Source: Alexandria via LeMat-Bulk, functional PBE.

The structure belongs to space group Imm2 (No. 44); the cell edges are 3.038, 4.146 and 8.522 Å and the angles 90.00°, 90.00° and 90.00°. The distinct sites, in fractional coordinates, are Mn at (0.000, 0.000, 0.000), Mn at (0.000, 0.500, 0.257), Re at (0.000, 0.500, 0.749) and Ru at (0.000, 0.000, 0.507).

The calculation puts the formation energy at 100 meV per atom.

***

Record 6
EuO2 after structural relaxation. Source: Alexandria via LeMat-Bulk, functional PBE.

The structure belongs to space group P4/nmm (No. 129, origin choice 2); the cell edges are 3.516, 3.516 and 6.257 Å and the angles 90.00°, 90.00° and 90.00°. The distinct sites, in fractional coordinates, are Eu at (0.250, 0.250, 0.239), O at (0.250, 0.250, 0.866) and O at (0.250, 0.750, 0.500).

For the formation energy without anion corrections, the calculation gives -2.029 eV per atom.

***

no.,calculated total energy (eV per atom),N(E_F) (states/eV/atom)
1,-6.61,0.11
2,-5.69,0.59
3,-9.03,0.35
4,-6.10,0.68
5,-9.92,0.95
6,-8.76,1.44